Material: TaNb3Ir6
Method: DFT, PBE-GGA
State: relaxed

The space group is P2_1/m (No. 11) and the conventional cell measures 7.6196, 4.5768 and 9.6411 Å, with angles of 90.00, 109.54 and 90.00 degrees. The asymmetric unit holds Ta at (0.1133, 0.2500, 0.0573), Nb at (0.0704, 0.7500, 0.7388), Nb at (0.2968, 0.7500, 0.5338), Nb at (0.3231, 0.2500, 0.8608), Ir at (0.1050, 0.7500, 0.2319), Ir at (0.1090, 0.2500, 0.5737), Ir at (0.2952, 0.7500, 0.0290), Ir at (0.3073, 0.2500, 0.3689), Ir at (0.4906, 0.7500, 0.3301) and Ir at (0.5002, 0.2500, 0.1719).

Its formation enthalpy at 0 K is -0.52 eV/atom. As for the magnetization: 0.00 μB per formula unit. For the raw total energy, the calculation gives -10.0436 eV per atom.